Here is a relaxed structure of LaTl2Ru from the Alexandria database. Energies are from PBE-GGA.

SG: P4mm, No. 99
DFT total energy, Ry/atom: -0.34548

a = 3.456 Å, b = 3.456 Å, c = 8.459 Å
α = 90.00°, β = 90.00°, γ = 90.00°
Fractional positions:
Tl 0.500 0.500 0.233
La 0.000 0.000 0.555
Ru 0.500 0.500 0.759
Tl 0.000 0.000 0.953

***

Here is a relaxed structure of La2TlRu from the Alexandria database. Energies are from PBE-GGA.

SG: C2/m, No. 12
DFT total energy, Ry/atom: -0.41404
E above lowest polymorph, eV per atom: 0.0504

a = 4.095 Å, b = 4.095 Å, c = 8.751 Å
α = 76.59°, β = 76.59°, γ = 59.87°
Fractional positions:
Tl 0.750 0.750 0.750
La 0.979 0.979 0.062
Ru 0.250 0.250 0.250
La 0.521 0.521 0.438

***

Short version: calculated formation energy = 33; -259 meV per atom, in the order given.